A plane-wave DFT calculation with PBE-GGA was carried out for an optimized crystal structure of TbAl2Rh.

```
4
Lattice="-3.1170 -0.8227 0.1827 -1.5491 -1.0514 -2.6308 0.7106 -8.7821 1.1098" Properties=species:S:1:pos:R:3 pbc="T T T"
Rh 0.0000 0.0000 0.0000
Tb -1.9778 -5.3281 -0.6692
Al -2.8520 -8.4050 -0.9063
Al -1.1036 -2.2512 -0.4321
```

* crystal system: trigonal
* energy: -5.187 eV per atom
* total moment: 0.0 μB per formula unit

---

A plane-wave DFT calculation with PBE-GGA was carried out for an optimized crystal structure of Pr2SmNbN4.

```
16
Lattice="-1.2354 -2.2794 2.3218 0.5173 -3.1805 -5.4555 11.8879 -3.3222 3.0640" Properties=species:S:1:pos:R:3 pbc="T T T"
Pr 6.2807 -4.9558 -1.5233
Pr -0.2336 -2.3947 0.1333
Pr 4.8891 -3.8262 1.4536
Pr 11.4034 -6.3874 -0.2029
Sm 8.8952 -3.3836 1.4113
Sm 2.2746 -5.3984 -1.4810
Nb 8.2301 -6.5629 0.5447
Nb 2.9397 -2.2192 -0.6144
N 1.5506 -2.7580 -1.8825
N 6.8838 -5.2596 1.1078
N 9.6192 -6.0241 1.8128
N 4.2860 -3.5224 -1.1775
N 5.9440 -1.6611 1.5320
N 0.0000 0.0000 0.0000
N 8.8266 -6.3353 -1.5228
N 2.3432 -2.4468 1.4532
```

* crystal system: orthorhombic
* energy: -8.249 eV per atom
* formation energy from raw total energies: -1.043 eV per atom
* total moment: 0.0 μB per formula unit

---

A plane-wave DFT calculation with PBE-GGA was carried out for an optimized crystal structure of PIN2.

```
4
Lattice="2.0943 0.0000 7.0291 -1.0472 1.8137 7.0291 -1.0472 -1.8137 7.0291" Properties=species:S:1:pos:R:3 pbc="T T T"
I 0.0000 0.0000 10.5436
P 0.0000 0.0000 0.0000
N 0.0000 0.0000 19.5295
N 0.0000 0.0000 1.5577
```

* crystal system: trigonal
* energy: -4.550 eV per atom
* formation energy from raw total energies: 1.353 eV per atom
* total moment: 0.0 μB per formula unit
* E above lowest polymorph: 802 meV per atom

---

A plane-wave DFT calculation with PBE-GGA was carried out for an optimized crystal structure of Y3TaO7.

```
22
Lattice="-1.8442 -1.4937 -5.1230 -5.9825 -3.4030 3.1784 -6.6883 4.4585 1.1183" Properties=species:S:1:pos:R:3 pbc="T T T"
Y -2.1011 -1.4840 -4.8011
Y -3.3714 -1.8537 1.5409
Y -6.1718 -1.7475 -0.5464
Y -8.9895 -1.6177 -2.4257
Y -3.1370 0.0736 -1.8683
Y -5.8263 -0.0870 -4.0207
Ta -11.7507 -0.3559 1.4482
Ta -8.6978 1.2316 -0.2905
O -8.5589 2.9458 0.6173
O -5.6598 -2.9062 1.3101
O -12.4152 0.5456 -0.2313
O -8.1882 -2.7733 -0.6393
O -3.9864 -1.5598 -3.0823
O -8.3117 -1.9108 2.7433
O -4.3825 -0.5255 -0.0584
O -7.6381 2.1895 -1.7669
O -6.8485 -1.3614 -2.5975
O -7.3887 0.0767 0.3563
O -9.9943 0.7535 1.1862
O -9.7332 0.2815 -1.6135
O -4.9593 1.4630 -2.4596
O -5.5145 2.6967 0.1580
```

* crystal system: triclinic
* energy: -9.294 eV per atom
* formation energy from raw total energies: -3.298 eV per atom
* total moment: 0.0 μB per formula unit
* E above lowest polymorph: 98 meV per atom

---

A plane-wave DFT calculation with PBE-GGA was carried out for an optimized crystal structure of Cs2PuH12Rh3.

```
18
Lattice="-1.8093 3.4761 5.3709 -6.3358 -0.3770 1.9799 -1.3358 -3.3476 5.5869" Properties=species:S:1:pos:R:3 pbc="T T T"
Cs -5.7987 -0.1520 7.9130
Cs -3.6822 -0.0965 5.0248
Pu 0.0000 0.0000 0.0000
H -3.5439 -2.2103 7.2421
H -7.7995 1.4014 8.8187
H -7.5700 -1.9064 8.9234
H -3.8466 2.1515 7.1041
H -5.3758 -0.0386 10.5672
H -6.7400 -0.3115 4.9365
H -5.9369 1.9619 5.6956
H -1.6813 -1.6498 4.1190
H -1.9109 1.6579 4.0143
H -5.6343 -2.4000 5.8336
H -4.1051 -0.2098 2.3705
H -2.7409 0.0630 8.0012
Rh -0.9046 1.7381 2.6855
Rh -3.1679 -0.1885 0.9900
Rh -0.6679 -1.6738 2.7934
```

* crystal system: trigonal
* energy: -4.562 eV per atom
* total moment: 5.5 μB per formula unit

---

A plane-wave DFT calculation with PBE-GGA was carried out for an optimized crystal structure of Pm4Sm5Ho.

```
10
Lattice="3.3860 0.0000 -0.8339 -0.3192 6.7532 -1.2963 1.7255 1.0446 14.2987" Properties=species:S:1:pos:R:3 pbc="T T T"
Pm 2.1674 5.6856 1.5097
Pm 4.2454 5.6027 9.9476
Pm 2.6249 2.1121 10.6589
Pm 0.5469 2.1951 2.2210
Sm 1.1869 4.4812 4.8195
Sm 1.3776 1.1387 5.5942
Sm 3.4147 6.6591 6.5744
Sm 1.5334 3.3766 -1.0651
Sm 3.6055 3.3166 7.3490
Ho 1.6930 0.0000 -0.4169
```

* crystal system: monoclinic
* energy: -4.571 eV per atom
* total moment: 0.0 μB per formula unit
* E above lowest polymorph: 0 meV per atom

---

A plane-wave DFT calculation with PBE-GGA was carried out for an optimized crystal structure of SmScW2N6.

```
20
Lattice="6.3297 0.1759 0.1825 2.2319 7.1238 0.4466 2.2319 0.1823 7.1355" Properties=species:S:1:pos:R:3 pbc="T T T"
Sm 3.8144 6.4787 1.1563
Sm 6.9792 1.0033 6.6083
Sc 3.8144 2.1072 5.3687
Sc 6.9792 5.3748 2.3960
W 5.1803 5.7930 4.8497
W 2.4485 2.7624 1.7046
W 5.6133 1.6890 2.9150
W 8.3451 4.7196 6.0600
N 5.0702 7.2701 6.0025
N 2.5586 1.6652 0.1859
N 5.7234 0.2120 1.7622
N 8.2350 5.8168 7.5788
N 5.0547 6.2990 3.1241
N 2.5740 4.5056 1.2629
N 5.7389 1.1830 4.6405
N 8.2195 2.9764 6.5017
N 3.7684 4.4903 5.1744
N 3.8603 2.3897 2.9944
N 7.0252 2.9917 2.5903
N 6.9332 5.0924 4.7702
```

* crystal system: monoclinic
* energy: -9.617 eV per atom
* formation energy from raw total energies: -0.927 eV per atom
* total moment: 0.0 μB per formula unit

---

A plane-wave DFT calculation with PBE-GGA was carried out for an optimized crystal structure of Y2MgCdO.

```
5
Lattice="-2.1200 -4.1052 -1.3197 2.1580 0.2631 -4.2851 3.4613 -2.3023 1.6017" Properties=species:S:1:pos:R:3 pbc="T T T"
Y 1.0790 0.1316 -2.1426
Y -1.0600 -2.0526 -0.6598
Mg 1.7307 -1.1512 0.8009
O 0.0000 0.0000 0.0000
Cd 1.7497 -3.0722 -2.0015
```

* crystal system: tetragonal
* energy: -5.308 eV per atom
* formation energy from raw total energies: -1.229 eV per atom
* total moment: 0.0 μB per formula unit

---

no.,DOS(E_F) (states/eV/atom)
1,0.557
2,0.377
3,0.961
4,0.000
5,0.847
6,1.677
7,0.000
8,0.466